This record from the Alexandria database describes a geometry-optimized V2FeW structure. The functional is PBE.

a b c (Å): 6.668 6.668 5.353
angles (deg): 51.48 51.48 90.00
Fractional coordinates of all 8 atoms:
Fe 0.250 0.750 0.500
Fe 0.500 0.500 0.000
V 0.154 0.625 0.250
V 0.875 0.846 0.750
V 0.375 0.404 0.750
V 0.596 0.125 0.250
W 0.750 0.250 0.500
W 0.000 0.000 0.000

- N(E_F): 1.2194 states/eV per atom
- Space-group type: I-42d (122)
- Final energy: -9.376 eV/atom
- Volume: 56.3 Å³/f.u.